Entry 1:
DFT (PBE-GGA) results for a relaxed structure of Cs12Li.

POSCAR file:
```
Cs12Li
1.0
-7.046 7.046 7.046
7.046 -7.046 7.046
7.046 7.046 -7.046
Cs Li
12 1
direct
0.130 0.305 0.824
0.176 0.481 0.305
0.176 0.870 0.695
0.305 0.176 0.481
0.305 0.824 0.130
0.481 0.305 0.176
0.519 0.695 0.824
0.695 0.176 0.870
0.695 0.824 0.519
0.824 0.130 0.305
0.824 0.519 0.695
0.870 0.695 0.176
0.000 0.000 0.000
```

Summary:
ΔE_f, eV per atom: 0.055
Volume, Å³ per cell: 1399.4

---

Entry 2:
DFT (PBE-GGA) results for a relaxed structure of LiTaBr2.

POSCAR file:
```
LiTaBr2
1.0
-1.892 1.892 7.272
1.892 -1.892 7.272
1.892 1.892 -7.272
Li Ta Br
1 1 2
direct
0.000 0.000 0.000
0.250 0.750 0.500
0.500 0.500 0.000
0.750 0.250 0.500
```

Summary:
ΔE_f (raw), kJ per mole of atoms: 21.5
Excess energy over the best structure of this formula in the dataset, meV per atom: 525.5
Volume, Å³ per cell: 104.1

---

Entry 3:
DFT (PBE-GGA) results for a relaxed structure of KNa2S.

POSCAR file:
```
KNa2S
1.0
-4.188 4.188 6.032
4.188 -4.188 6.032
4.188 4.188 -6.032
K Na S
2 4 2
direct
0.000 0.000 0.000
0.750 0.250 0.500
0.371 0.625 0.246
0.375 0.621 0.746
0.379 0.125 0.754
0.875 0.629 0.254
0.250 0.750 0.500
0.500 0.500 0.000
```

Summary:
ΔE_f (raw), kJ per mole of atoms: -50.0
Volume, Å³ per cell: 423.1

---

Entry 4:
DFT (PBE-GGA) results for a relaxed structure of SrH2O2.

POSCAR file:
```
SrH2O2
1.0
-2.948 2.948 3.386
2.948 -2.948 3.386
2.948 2.948 -3.386
Sr H O
2 4 4
direct
0.250 0.250 0.000
0.750 0.750 0.000
0.111 0.611 0.722
0.389 0.111 0.500
0.611 0.889 0.500
0.889 0.389 0.278
0.228 0.728 0.955
0.272 0.228 0.500
0.728 0.772 0.500
0.772 0.272 0.045
```

Summary:
Volume, Å³ per cell: 117.7

---

Entry 5:
DFT (PBE-GGA) results for a relaxed structure of CuTe3Se.

POSCAR file:
```
CuTe3Se
1.0
5.086 0.000 0.000
0.000 5.086 0.000
0.000 0.000 5.086
Cu Te Se
1 3 1
direct
0.000 0.000 0.000
0.000 0.000 0.500
0.000 0.500 0.000
0.500 0.000 0.000
0.500 0.500 0.500
```

Summary:
ΔE_f (raw), kJ per mole of atoms: 50.2
Excess energy over the best structure of this formula in the dataset, meV per atom: 0.0
Volume, Å³ per cell: 131.6

---

Entry 6:
DFT (PBE-GGA) results for a relaxed structure of PmPr2Ta.

POSCAR file:
```
PmPr2Ta
1.0
1.665 0.961 12.312
-1.665 0.961 12.312
0.000 -1.922 12.312
Pm Pr Ta
1 2 1
direct
0.000 0.000 0.000
0.420 0.420 0.420
0.580 0.580 0.580
0.500 0.500 0.500
```

Summary:
ΔE_f, eV per atom: 0.691
Volume, Å³ per cell: 118.2

---

Entry 7:
DFT (PBE-GGA) results for a relaxed structure of CaAc3Pr4.

POSCAR file:
```
CaAc3Pr4
1.0
4.028 0.000 0.000
0.000 6.290 0.000
0.000 0.000 12.560
Ca Ac Pr
1 3 4
direct
0.000 0.000 0.000
0.000 0.000 0.500
0.000 0.500 0.252
0.000 0.500 0.748
0.500 0.000 0.243
0.500 0.000 0.757
0.500 0.500 0.000
0.500 0.500 0.500
```

Summary:
ΔE_f, eV per atom: 0.098
Volume, Å³ per cell: 318.2

---

Entry 8:
DFT (PBE-GGA) results for a relaxed structure of InSiNi2.

POSCAR file:
```
InSiNi2
1.0
0.000 3.055 3.055
3.055 0.000 3.055
3.055 3.055 0.000
In Si Ni
1 1 2
direct
0.000 0.000 0.000
0.250 0.250 0.250
0.500 0.500 0.500
0.750 0.750 0.750
```

Summary:
ΔE_f (raw), kJ per mole of atoms: 20.5
Volume, Å³ per cell: 57.0

---

So what do the calculations give for DFT total energy? Going down the list: -11.4, -16.2, -19.9, -54.5, -14.4, -23.4, -32.7, -18.9 eV for the cell shown.
So what do the calculations give for density of states at the Fermi level? Going down the list: 13.91, 2.79, 0.25, 0.00, 5.78, 7.01, 15.05, 2.09 states/eV/f.u..
So what do the calculations give for theoretical density? Going down the list: 1.90, 5.55, 0.92, 3.43, 6.63, 8.54, 6.70, 7.58 Mg/m³.